(1)
LaPmGd: relaxed, PBE.

E   -7.907 eV/atom

Cell: 3.685 3.685 8.096 Å, 103.15 103.15 90.00°
Site moments in Bohr magnetons follow the coordinates.
Atoms (fractional coordinates):
Gd (0.948, 0.948, 0.896)  -7.33
La (0.617, 0.617, 0.234)  0.02
Pm (0.285, 0.285, 0.570)  0.04

(2)
AcNd6Tm2: relaxed, PBE.

E   -4.572 eV/atom

Cell: 5.807 12.224 12.224 Å, 48.41 103.75 103.75°
Atoms (fractional coordinates):
Tm (0.500, 0.833, 0.667)
Nd (0.838, 0.171, 0.005)
Ac (0.750, 0.750, 0.250)
Nd (0.161, 0.495, 0.328)
Ac (0.250, 0.250, 0.750)
Nd (0.921, 0.921, 0.421)
Tm (0.000, 0.667, 0.833)
Nd (0.579, 0.579, 0.079)
Nd (0.661, 0.328, 0.495)
Tm (0.500, 0.167, 0.333)
Nd (0.421, 0.421, 0.921)
Nd (0.339, 0.672, 0.505)
Nd (0.079, 0.079, 0.579)
Tm (0.000, 0.333, 0.167)
Nd (0.662, 0.995, 0.829)
Nd (0.162, 0.829, 0.995)
Nd (0.338, 0.005, 0.171)
Nd (0.839, 0.505, 0.672)

(3)
Cs5Au4Cl: relaxed, PBE.

ΔE_f (raw)   -62 kJ per mole of atoms

Cell: 5.163 7.337 13.795 Å, 105.42 100.78 90.00°
Atoms (fractional coordinates):
Cs (0.406, 0.906, 0.813)
Cs (0.799, 0.299, 0.597)
Cs (0.594, 0.094, 0.187)
Au (0.599, 0.599, 0.199)
Cl (0.000, 0.000, 0.000)
Cs (0.000, 0.500, 0.000)
Au (0.401, 0.401, 0.801)
Au (0.803, 0.803, 0.605)
Cs (0.201, 0.701, 0.403)
Au (0.197, 0.197, 0.395)

(4)
La6Sb2Te3Se: relaxed, PBE.

ΔE_f (raw)   -152 kJ per mole of atoms

Cell: 4.546 9.132 10.202 Å, 103.33 102.87 90.00°
Atoms (fractional coordinates):
La (0.332, 0.421, 0.664)
La (0.341, 0.917, 0.682)
La (0.668, 0.579, 0.336)
Te (0.169, 0.835, 0.339)
La (0.000, 0.768, 0.000)
La (0.000, 0.232, 0.000)
Te (0.500, 0.500, 0.000)
Sb (0.835, 0.668, 0.669)
Sb (0.165, 0.332, 0.331)
Te (0.831, 0.165, 0.661)
La (0.659, 0.083, 0.318)
Se (0.500, 0.000, 0.000)

(5)
Sm2AuO2: relaxed, PBE.

ΔE_f (raw)   -245 kJ per mole of atoms

Cell: 3.983 3.983 6.775 Å, 107.10 107.10 90.00°
Atoms (fractional coordinates):
Sm (0.344, 0.344, 0.687)
O (0.750, 0.250, 0.500)
Au (0.000, 0.000, 0.000)
Sm (0.656, 0.656, 0.313)
O (0.250, 0.750, 0.500)

(6)
KSmTcO5: relaxed, PBE.

ΔE_f (raw)   -199 kJ per mole of atoms

Cell: 6.410 6.410 8.249 Å, 103.24 103.24 107.08°
Site moments in Bohr magnetons follow the coordinates.
Atoms (fractional coordinates):
O (0.076, 0.924, 0.250)  -0.01
Sm (0.000, 0.000, 0.500)  0.02
O (0.404, 0.261, 0.094)  0.06
O (0.924, 0.076, 0.750)  -0.01
Tc (0.323, 0.677, 0.750)  0.65
K (0.678, 0.322, 0.750)  0.00
Sm (0.000, 0.000, 0.000)  0.02
O (0.873, 0.304, 0.127)  0.06
Tc (0.677, 0.323, 0.250)  0.65
O (0.127, 0.696, 0.873)  0.06
O (0.739, 0.596, 0.406)  0.06
O (0.596, 0.739, 0.906)  0.06
K (0.322, 0.678, 0.250)  0.00
O (0.261, 0.404, 0.594)  0.06
O (0.304, 0.873, 0.627)  0.06
O (0.696, 0.127, 0.373)  0.06